Below is a relaxed structure of Ge2PdS, with properties calculated at the PBE level.

Results
Its uncorrected formation energy is -58.0 meV/atom. Its symmetry is No. 166. Its density of states at the Fermi level is 0.707 states/eV per cell.

Cell lengths 3.8820, 3.8820, 7.2588 Å; angles 74.49, 74.49, 60.00 degrees
Fractional coordinates of all 4 atoms:
Ge1 0.1070 0.1070 0.6789
Ge2 0.8930 0.8930 0.3211
S1 0.0000 0.0000 0.0000
Pd1 0.5000 0.5000 0.5000